(1)
Material: Mg4NiCl
Method: DFT, PBE-GGA
State: optimized geometry

The structure in POSCAR format:
```
Mg4NiCl
1.0
2.193 -5.191 0.801
-3.241 -4.611 -0.791
0.942 -3.410 -4.459
Mg Ni Cl
4 1 1
Cartesian
1.047 -7.543 -1.275
0.427 -6.660 -3.884
-1.648 -7.255 -2.065
-0.040 -4.968 -1.673
-0.080 -9.910 -3.336
0.000 0.000 0.000
```

Computed properties:
Space-group type: No. 216
Formation energy without anion corrections (eV per formula unit): 1.6

(2)
Material: MgNiCl2
Method: DFT, PBE-GGA
State: optimized geometry

The structure in POSCAR format:
```
MgNiCl2
1.0
-3.144 0.126 3.449
-0.823 -3.824 2.550
1.406 -0.187 4.448
Cl Mg Ni
2 1 1
Cartesian
0.000 0.000 0.000
-0.640 -0.971 2.612
-1.280 -1.942 5.224
-1.921 -2.914 7.835
```

Computed properties:
Space-group type: No. 216
Polymorph energy (0 for the lowest one) (meV/atom): 853.0
Formation energy without anion corrections (eV per formula unit): 0.2

(3)
Material: MgNiCl2
Method: DFT, PBE-GGA
State: optimized geometry

The structure in POSCAR format:
```
MgNiCl2
1.0
5.538 -0.006 -0.004
4.150 3.667 -0.004
4.150 1.568 3.314
Cl Mg Ni
2 1 1
Cartesian
0.081 0.031 0.019
6.838 2.584 1.634
3.460 1.307 0.827
10.379 3.921 2.480
```

Computed properties:
Space-group type: No. 166
Polymorph energy (0 for the lowest one) (meV/atom): 393.2
Formation energy without anion corrections (eV per formula unit): -1.6

| no. | calculated volume (Å³/f.u.) | energy (eV per atom) |
| --- | --- | --- |
| 1 | 130.4 | -2.063 |
| 2 | 72.0 | -2.713 |
| 3 | 67.5 | -3.173 |